1.
Mg2TlInRh: optimized geometry, PBE-GGA.

ρ, g cm⁻³: 6.01
Crystal system: tetragonal
Formation energy, eV/atom: -0.13
Space group: P4/mmm, No. 123

a = 5.031 Å, b = 5.031 Å, c = 5.139 Å
α = 90.00°, β = 90.00°, γ = 90.00°
Fractional positions:
Mg (0.500, 0.000, 0.000)
Mg (0.000, 0.500, 0.000)
Tl (0.500, 0.500, 0.500)
Rh (0.000, 0.000, 0.000)
In (0.000, 0.000, 0.500)

---

2.
MgTlIn2Rh: optimized geometry, PBE-GGA.

ρ, g cm⁻³: 6.93
Crystal system: tetragonal
Formation energy, eV/atom: -0.16
Space group: P4/mmm, No. 123

a = 5.157 Å, b = 5.157 Å, c = 5.059 Å
α = 90.00°, β = 90.00°, γ = 90.00°
Fractional positions:
Tl (0.500, 0.500, 0.500)
Mg (0.000, 0.000, 0.500)
In (0.000, 0.500, 0.000)
In (0.500, 0.000, 0.000)
Rh (0.000, 0.000, 0.000)

---

3.
Tm3MgIn3Rh2: optimized geometry, PBE-GGA.

ρ, g cm⁻³: 9.18
Crystal system: hexagonal
Formation energy, eV/atom: -0.58
Space group: P-62m, No. 189

a = 3.587 Å, b = 7.936 Å, c = 7.936 Å
α = 120.00°, β = 90.00°, γ = 90.00°
Fractional positions:
Rh (0.500, 0.333, 0.667)
Rh (0.500, 0.667, 0.333)
Tm (0.000, 0.595, 0.595)
Tm (0.000, 0.405, 0.000)
Tm (0.000, 0.000, 0.405)
In (0.500, 0.718, 0.000)
In (0.500, 0.000, 0.718)
In (0.500, 0.282, 0.282)
Mg (0.000, 0.000, 0.000)

---

The lowest ρ belongs to which entry?
Mg2TlInRh

---

What is the formula in the third record?
Tm3MgIn3Rh2

---

Look up the ρ of the third one.
9.18 g cm⁻³